Pm3AlGe6Pd2 (PBE, relaxed); volume = 21.3 Å³/atom; energy of formation from the pure elements = -422 meV/atom; energy = -61.2 eV/cell; spin magnetization = 0.00 μB per cell; symmetry = P-3m1; theoretical density = 7.23 Mg/m³
1.0
5.932 0.000 0.000
-2.966 5.138 0.000
0.000 0.000 8.368
Al Pm Ge Pd
1 3 6 2
direct
0.000 0.000 0.500 Al
0.333 0.667 0.613 Pm
0.667 0.333 0.387 Pm
0.000 0.000 0.000 Pm
0.627 0.814 0.274 Ge
0.814 0.627 0.726 Ge
0.814 0.186 0.726 Ge
0.186 0.814 0.274 Ge
0.373 0.186 0.726 Ge
0.186 0.373 0.274 Ge
0.333 0.667 0.017 Pd
0.667 0.333 0.983 Pd